1.
# BaSbPtC2

A relaxed BaSbPtC2 crystal (GGA-PBE, Alexandria).

Results
ρ (g/cm³): 6.29
Total moment (μB/f.u.): 1.8

Cell lengths 4.6574, 5.8240, 4.6574 Å; angles 90.00, 90.00, 90.00 degrees
With the nearest neighbours (Å) after each atom.
Sites, in units of the cell vectors:
Ba: 0.0000 0.0000 0.0000  4 C 2.33
C: 0.5000 0.0000 0.0000  2 Ba 2.33
Sb: 0.5000 0.5000 0.5000  4 Pt 3.29
Pt: 0.0000 0.5000 0.0000  2 Ba 2.91
C: 0.0000 0.0000 0.5000  2 Ba 2.33

2.
# CaMoN3

A relaxed CaMoN3 crystal (GGA-PBE, Alexandria).

Results
ρ (g/cm³): 4.36
Total moment (μB/f.u.): 1.0

Cell lengths 6.0880, 6.0880, 6.0880 Å; angles 53.62, 53.62, 53.62 degrees
With the nearest neighbours (Å) after each atom.
Sites, in units of the cell vectors:
N: 0.5096 0.9275 0.3308  1 Mo 1.87
Ca: 0.8638 0.8638 0.8638  6 N 2.43-2.48
N: 0.0725 0.6692 0.4904  1 Mo 1.87
N: 0.3308 0.5096 0.9275  1 Mo 1.87
N: 0.6692 0.4904 0.0725  1 Mo 1.87
Ca: 0.1362 0.1362 0.1362  6 N 2.43-2.48
N: 0.9275 0.3308 0.5096  1 Mo 1.87
N: 0.4904 0.0725 0.6692  1 Mo 1.87
Mo: 0.3576 0.3576 0.3576  3 N 1.87
Mo: 0.6424 0.6424 0.6424  3 N 1.87

3.
# ZrBeC3

A relaxed ZrBeC3 crystal (GGA-PBE, Alexandria).

Results
ρ (g/cm³): 4.83
Total moment (μB/f.u.): 0.0
ΔH_f (0 K) (eV per atom): 1.294
Distance to the lowest polymorph of the same formula (eV per formula unit): 0.000

Cell lengths 3.6056, 3.6056, 3.6056 Å; angles 90.00, 90.00, 90.00 degrees
With the nearest neighbours (Å) after each atom.
Sites, in units of the cell vectors:
C: 0.0000 0.5000 0.0000  2 Be 1.80
C: 0.5000 0.0000 0.0000  2 Be 1.80
Zr: 0.5000 0.5000 0.5000  12 C 2.55
Be: 0.0000 0.0000 0.0000  6 C 1.80
C: 0.0000 0.0000 0.5000  2 Be 1.80

4.
# DyHoZnSi

A relaxed DyHoZnSi crystal (GGA-PBE, Alexandria).

Results
ρ (g/cm³): 7.68
Total moment (μB/f.u.): 0.3
Distance to the lowest polymorph of the same formula (eV per formula unit): 0.000

Cell lengths 4.1701, 4.0530, 5.7733 Å; angles 90.00, 111.17, 90.00 degrees
With the nearest neighbours (Å) after each atom.
Sites, in units of the cell vectors:
Ho: 0.8595 0.5000 0.7190  4 Si 3.00, 3 Zn 3.09-3.11
Si: 0.4263 0.0000 0.8525  2 Zn 2.56
Zn: 0.5711 0.5000 0.1421  2 Si 2.56
Dy: 0.1432 0.0000 0.2863  4 Zn 3.01, 3 Si 3.05-3.13

Ordered E results: -3.42 -7.86 -6.70 -4.54; unit eV per atom.